NaH3Rh: relaxed, PBE.

Calculated values
raw total energy	-0.29577	Ry/atom
energy above the lowest structure with this stoichiometry	0	meV/atom
total magnetic moment	0.000	μB per cell

abc: 3.527 3.527 3.527
angles: 90.00 90.00 90.00
Fractional coordinates of all 5 atoms:
Na  0.500  0.500  0.500
Rh  0.000  0.000  0.000
H  0.000  0.500  0.000
H  0.000  0.000  0.500
H  0.500  0.000  0.000